16
Lattice="6.671 0.000 0.000 0.000 6.671 0.000 0.000 0.000 13.169" Properties=species:S:1:pos:R:3 comment="PBEsol ZrTlSb2, relaxed" space_group="I-42d (122)" raw_formation_energy_ev_per_atom=0.16 de_polymorph_mev_per_atom=298 dft_energy_ev_per_atom=-5.048 dos_at_fermi_per_ev_atom=0.854 pbc="T T T"
Zr 0.000 0.000 0.000
Zr 0.000 3.336 3.292
Zr 3.336 0.000 9.876
Zr 3.336 3.336 6.584
Tl 0.000 0.000 6.584
Tl 0.000 3.336 9.876
Tl 3.336 0.000 3.292
Tl 3.336 3.336 0.000
Sb 1.508 1.668 1.646
Sb 1.668 4.844 4.938
Sb 1.668 5.163 11.523
Sb 1.827 1.668 8.230
Sb 4.844 5.003 8.230
Sb 5.003 1.508 11.523
Sb 5.003 1.827 4.938
Sb 5.163 5.003 1.646